DFT (GGA-PBE) results for crystalline IrRhBr2 at its relaxed geometry.

```
IrRhBr2
1.0
3.131 0.000 0.000
0.000 3.131 0.000
0.000 0.000 8.558
Ir Rh Br
1 1 2
direct
0.000 0.000 0.540
0.500 0.500 0.711
0.000 0.000 0.917
0.500 0.500 0.332
```

Results
Energy relative to the elements, uncorrected   0.477 eV per atom

---

DFT (GGA-PBE) results for crystalline IrRhBr2 at its relaxed geometry.

```
IrRhBr2
1.0
-2.531 -2.025 0.395
2.011 -2.561 -0.244
0.926 0.108 6.493
Ir Rh Br
1 1 2
direct
0.500 0.500 0.250
0.500 0.500 0.750
0.000 0.000 0.998
0.000 0.000 0.502
```

Results
Energy relative to the elements, uncorrected   1.054 eV per atom

---

DFT (GGA-PBE) results for crystalline IrRhBr2 at its relaxed geometry.

```
IrRhBr2
1.0
-1.318 -4.525 -4.926
-3.985 -3.501 4.282
-5.253 -2.217 -1.275
Ir Rh Br
2 2 4
direct
0.000 0.000 0.000
0.750 0.250 0.500
0.500 0.500 0.000
0.250 0.750 0.500
0.631 0.125 0.250
0.119 0.625 0.250
0.375 0.369 0.750
0.875 0.881 0.750
```

Results
Energy relative to the elements, uncorrected   0.863 eV per atom

---

DFT (GGA-PBE) results for crystalline IrRhBr2 at its relaxed geometry.

```
IrRhBr2
1.0
3.214 0.002 0.000
-1.816 2.652 0.000
0.000 0.000 8.653
Ir Rh Br
1 1 2
direct
0.500 0.500 0.250
0.500 0.500 0.750
0.000 0.000 0.999
0.000 0.000 0.501
```

Results
Energy relative to the elements, uncorrected   0.868 eV per atom

---

DFT (GGA-PBE) results for crystalline IrRhBr2 at its relaxed geometry.

```
IrRhBr2
1.0
-5.184 4.397 -1.083
-5.445 2.404 -3.457
-3.294 -2.330 2.319
Ir Rh Br
1 1 2
direct
0.250 0.250 0.250
0.750 0.750 0.750
0.107 0.107 0.989
0.393 0.393 0.511
```

Results
Energy relative to the elements, uncorrected   0.472 eV per atom

---

DFT (GGA-PBE) results for crystalline IrRhBr2 at its relaxed geometry.

```
IrRhBr2
1.0
0.000 3.265 3.265
3.265 0.000 3.265
3.265 3.265 0.000
Ir Rh Br
1 1 2
direct
0.500 0.500 0.500
0.000 0.000 0.000
0.250 0.250 0.250
0.750 0.750 0.750
```

Results
Energy relative to the elements, uncorrected   1.044 eV per atom

---

DFT (GGA-PBE) results for crystalline IrRhBr2 at its relaxed geometry.

```
IrRhBr2
1.0
-7.943 -1.077 2.485
-6.963 1.526 4.429
-8.031 2.085 1.257
Ir Rh Br
1 1 2
direct
0.000 0.000 0.000
0.500 0.500 0.500
0.902 0.902 0.902
0.098 0.098 0.098
```

Results
Energy relative to the elements, uncorrected   0.758 eV per atom

---

DFT (GGA-PBE) results for crystalline IrRhBr2 at its relaxed geometry.

```
IrRhBr2
1.0
3.887 0.000 0.000
0.000 4.833 -0.008
0.000 2.216 4.299
Ir Rh Br
1 1 2
direct
0.000 0.522 0.522
0.500 0.721 0.721
0.000 0.955 0.955
0.500 0.302 0.302
```

Results
Energy relative to the elements, uncorrected   0.431 eV per atom

---

DFT (GGA-PBE) results for crystalline IrRhBr2 at its relaxed geometry.

```
IrRhBr2
1.0
3.237 0.000 0.000
0.000 5.643 0.000
0.000 3.754 3.924
Ir Rh Br
1 1 2
direct
0.500 0.500 0.500
0.000 0.000 0.500
0.000 0.000 0.000
0.500 0.500 0.000
```

Results
Energy relative to the elements, uncorrected   0.838 eV per atom

---

DFT (GGA-PBE) results for crystalline IrRhBr2 at its relaxed geometry.

```
IrRhBr2
1.0
2.992 0.000 0.000
0.000 5.709 0.000
0.000 0.000 4.332
Ir Rh Br
1 1 2
direct
0.500 0.000 0.500
0.000 0.500 0.500
0.000 0.000 0.000
0.500 0.500 0.000
```

Results
Energy relative to the elements, uncorrected   0.874 eV per atom

---

DFT (GGA-PBE) results for crystalline IrRhBr3 at its relaxed geometry.

```
IrRhBr3
1.0
-0.589 2.641 -4.275
-4.953 -1.031 0.046
-0.847 4.190 2.705
Ir Rh Br
1 1 3
direct
0.000 0.000 0.000
0.500 0.500 0.500
0.000 0.500 0.000
0.000 0.000 0.500
0.500 0.000 0.000
```

Results
Energy relative to the elements, uncorrected   0.894 eV per atom

---

DFT (GGA-PBE) results for crystalline IrRh3Br at its relaxed geometry.

```
IrRh3Br
1.0
-0.955 -3.631 -2.963
3.110 1.771 -3.172
3.505 -2.560 2.007
Ir Rh Br
1 3 1
direct
0.000 0.000 0.000
0.000 0.500 0.000
0.000 0.000 0.500
0.500 0.000 0.000
0.500 0.500 0.500
```

Results
Energy relative to the elements, uncorrected   1.343 eV per atom

---

> Which formula does entry 5 have?

IrRhBr2